Entry 1:
Computed, not measured: a relaxed LaScCu2Ir crystal at the GGA-PBE level of DFT.

abc: 4.881 5.109 4.881
angles: 90.00 90.00 90.00
Last column: magnetic moment on the atom in μB.
Element x y z (fractional)
Sc  0.500  0.500  0.500  0.31
Ir  0.000  0.000  0.000  -0.02
Cu  0.000  0.000  0.500  0.00
Cu  0.500  0.000  0.000  0.00
La  0.000  0.500  0.000  0.06

Values from the calculation:
Space group: P4/mmm, No. 123
Crystal system: tetragonal
ρ, kg/m3: 6865
Calculated formation energy, eV per atom: 0.384
Total moment, μB/atom: 0.103

---

Entry 2:
Computed, not measured: a relaxed FeAgCl crystal at the GGA-PBE level of DFT.

abc: 3.101 3.101 6.500
angles: 90.00 90.00 120.00
Last column: magnetic moment on the atom in μB.
Element x y z (fractional)
Fe  0.667  0.333  0.641  3.07
Ag  0.000  0.000  0.961  0.00
Cl  0.333  0.667  0.398  0.14

Values from the calculation:
Space group: P3m1, No. 156
Crystal system: trigonal
ρ, kg/m3: 6109
Total moment, μB/atom: 1.080
E above lowest polymorph, meV/atom: 0
Energy relative to the elements, uncorrected, eV/atom: 0.046

---

Entry 3:
Computed, not measured: a relaxed Y2C crystal at the GGA-PBE level of DFT.

abc: 6.292 6.292 3.355
angles: 86.02 86.02 30.47
Element x y z (fractional)
Y  0.615  0.615  0.286
Y  0.385  0.385  0.714
C  0.000  0.000  0.000

Values from the calculation:
Space group: C2/m, No. 12
Crystal system: monoclinic
ρ, kg/m3: 4692
Calculated formation energy, eV per atom: 0.121
Total moment, μB/atom: 0.000

---

Entry 4:
Computed, not measured: a relaxed NbTlSn2Ru crystal at the GGA-PBE level of DFT.

abc: 5.459 4.719 5.459
angles: 90.00 90.00 90.00
Element x y z (fractional)
Ru  0.000  0.500  0.000
Tl  0.500  0.500  0.500
Sn  0.000  0.000  0.500
Sn  0.500  0.000  0.000
Nb  0.000  0.000  0.000

Values from the calculation:
Space group: P4/mmm, No. 123
Crystal system: tetragonal
ρ, kg/m3: 7507
Calculated formation energy, eV per atom: 0.689
Total moment, μB/atom: 0.000